# 1
VASP calculation (PBE) on crystalline SrSc2TaTc at its relaxed geometry.

Cell: 4.744 4.990 4.744 Å, 90.00 90.00 90.00°
Fractional coordinates of all 5 atoms:
Sc (0.000, 0.000, 0.500)
Sc (0.500, 0.000, 0.000)
Sr (0.000, 0.000, 0.000)
Tc (0.500, 0.500, 0.500)
Ta (0.000, 0.500, 0.000)

As for the space group: P4/mmm. The total magnetization comes out at 0.000 μB/f.u. The calculation puts the calculated total energy at -5.0510 eV/atom. For the formation energy, the calculation gives 2261.7 meV per atom.

# 2
VASP calculation (PBE) on crystalline Li2AcPr2Sn2 at its relaxed geometry.

Cell: 4.925 4.925 10.062 Å, 75.83 75.83 60.00°
Fractional coordinates of all 7 atoms:
Li (0.587, 0.587, 0.240)
Li (0.413, 0.413, 0.760)
Ac (0.000, 0.000, 0.000)
Pr (0.132, 0.132, 0.605)
Pr (0.868, 0.868, 0.395)
Sn (0.741, 0.741, 0.776)
Sn (0.259, 0.259, 0.224)

As for the space group: R-3m. The total magnetization comes out at 0.000 μB/f.u. The calculation puts the calculated total energy at -4.1223 eV/atom. For the formation energy, the calculation gives -479.3 meV per atom.

# 3
VASP calculation (PBE) on crystalline FeNi4Ir2 at its relaxed geometry.

Cell: 3.672 4.443 5.780 Å, 98.19 90.00 65.59°
Fractional coordinates of all 7 atoms:
Ni (0.432, 0.137, 0.708)
Ni (0.143, 0.714, 0.569)
Ni (0.568, 0.863, 0.292)
Ni (0.857, 0.286, 0.431)
Ir (0.713, 0.575, 0.851)
Ir (0.287, 0.425, 0.149)
Fe (0.000, 0.000, 0.000)

As for the space group: C2/m. The total magnetization comes out at 4.157 μB/f.u. The calculation puts the calculated total energy at -7.0554 eV/atom. For the formation energy, the calculation gives -11.1 meV per atom.

# 4
VASP calculation (PBE) on crystalline Na3InF4 at its relaxed geometry.

Cell: 6.097 6.584 7.587 Å, 90.00 90.00 90.00°
Fractional coordinates of all 16 atoms:
Na (0.519, 0.824, 0.000)
Na (0.019, 0.663, 0.250)
Na (0.519, 0.337, 0.250)
Na (0.019, 0.176, 0.500)
Na (0.519, 0.337, 0.750)
Na (0.019, 0.663, 0.750)
In (0.059, 0.163, 0.000)
In (0.559, 0.837, 0.500)
F (0.153, 0.794, 0.000)
F (0.440, 0.161, 0.000)
F (0.153, 0.348, 0.272)
F (0.653, 0.652, 0.228)
F (0.940, 0.839, 0.500)
F (0.653, 0.206, 0.500)
F (0.653, 0.652, 0.772)
F (0.153, 0.348, 0.728)

The calculation puts the formation energy from raw total energies at -2.4012 eV per atom. As for the space group: Pmn2_1. The total magnetization comes out at 0.000 μB/f.u. The calculation puts the calculated total energy at -4.1738 eV/atom.

# 5
VASP calculation (PBE) on crystalline La4Sm3Mg at its relaxed geometry.

Cell: 7.176 7.251 10.428 Å, 90.00 90.00 90.00°
Fractional coordinates of all 16 atoms:
Mg (0.500, 0.811, 0.000)
Mg (0.500, 0.311, 0.500)
Sm (0.000, 0.310, 0.000)
Sm (0.256, 0.061, 0.750)
Sm (0.744, 0.561, 0.750)
Sm (0.000, 0.810, 0.500)
Sm (0.744, 0.561, 0.250)
Sm (0.256, 0.061, 0.250)
La (0.000, 0.811, 0.000)
La (0.500, 0.310, 0.000)
La (0.749, 0.061, 0.749)
La (0.251, 0.561, 0.751)
La (0.500, 0.810, 0.500)
La (0.000, 0.311, 0.500)
La (0.251, 0.561, 0.249)
La (0.749, 0.061, 0.251)

As for the space group: Pmn2_1. The total magnetization comes out at 0.000 μB/f.u. The calculation puts the calculated total energy at -4.4256 eV/atom. For the formation energy, the calculation gives 7.1 meV per atom.

# 6
VASP calculation (PBE) on crystalline CuPHO4 at its relaxed geometry.

Cell: 9.611 9.611 9.611 Å, 114.68 114.68 114.68°
Fractional coordinates of all 42 atoms:
Cu (0.086, 0.812, 0.572)
Cu (0.812, 0.572, 0.086)
Cu (0.572, 0.086, 0.812)
Cu (0.914, 0.188, 0.428)
Cu (0.188, 0.428, 0.914)
Cu (0.428, 0.914, 0.188)
P (0.683, 0.317, 0.250)
P (0.317, 0.250, 0.683)
P (0.250, 0.683, 0.317)
P (0.317, 0.683, 0.750)
P (0.683, 0.750, 0.317)
P (0.750, 0.317, 0.683)
H (0.440, 0.325, 0.132)
H (0.325, 0.132, 0.440)
H (0.132, 0.440, 0.325)
H (0.560, 0.675, 0.868)
H (0.675, 0.868, 0.560)
H (0.868, 0.560, 0.675)
O (0.870, 0.551, 0.487)
O (0.551, 0.487, 0.870)
O (0.487, 0.870, 0.551)
O (0.130, 0.449, 0.513)
O (0.449, 0.513, 0.130)
O (0.513, 0.130, 0.449)
O (0.454, 0.233, 0.145)
O (0.233, 0.145, 0.454)
O (0.145, 0.454, 0.233)
O (0.546, 0.767, 0.855)
O (0.767, 0.855, 0.546)
O (0.855, 0.546, 0.767)
O (0.663, 0.150, 0.255)
O (0.150, 0.255, 0.663)
O (0.255, 0.663, 0.150)
O (0.337, 0.850, 0.745)
O (0.850, 0.745, 0.337)
O (0.745, 0.337, 0.850)
O (0.729, 0.317, 0.115)
O (0.317, 0.115, 0.729)
O (0.115, 0.729, 0.317)
O (0.271, 0.683, 0.885)
O (0.683, 0.885, 0.271)
O (0.885, 0.271, 0.683)

As for the space group: R-3. The total magnetization comes out at 0.995 μB/f.u. The calculation puts the calculated total energy at -6.1482 eV/atom.

# 7
VASP calculation (PBE) on crystalline ScNi5P3 at its relaxed geometry.

Cell: 3.489 6.117 11.277 Å, 90.00 90.00 106.57°
Fractional coordinates of all 18 atoms:
Sc (0.857, 0.715, 0.750)
Sc (0.143, 0.285, 0.250)
Ni (0.798, 0.595, 0.426)
Ni (0.202, 0.405, 0.926)
Ni (0.000, 0.000, 0.500)
Ni (0.000, 0.000, 0.000)
Ni (0.448, 0.897, 0.144)
Ni (0.552, 0.103, 0.856)
Ni (0.552, 0.103, 0.644)
Ni (0.798, 0.595, 0.074)
Ni (0.202, 0.405, 0.574)
Ni (0.448, 0.897, 0.356)
P (0.382, 0.765, 0.951)
P (0.879, 0.759, 0.250)
P (0.382, 0.765, 0.549)
P (0.618, 0.235, 0.451)
P (0.121, 0.241, 0.750)
P (0.618, 0.235, 0.049)

As for the space group: Cmcm. The total magnetization comes out at 0.000 μB/f.u. The calculation puts the calculated total energy at -6.4003 eV/atom. For the formation energy, the calculation gives -681.6 meV per atom.

# 8
VASP calculation (PBE) on crystalline SnBiCl at its relaxed geometry.

Cell: 5.088 6.825 6.274 Å, 80.23 89.66 83.12°
Fractional coordinates of all 6 atoms:
Sn (0.655, 0.665, 0.559)
Sn (0.771, 0.103, 0.478)
Cl (0.774, 0.107, 0.054)
Cl (0.311, 0.783, 0.846)
Bi (0.059, 0.438, 0.898)
Bi (0.248, 0.380, 0.438)

The calculation puts the formation energy from raw total energies at -0.3147 eV per atom. As for the space group: P1. The total magnetization comes out at 0.000 μB/f.u. The calculation puts the calculated total energy at -3.5582 eV/atom.

# 9
VASP calculation (PBE) on crystalline AlV4S8 at its relaxed geometry.

Cell: 6.868 6.868 6.868 Å, 60.00 60.00 60.00°
Fractional coordinates of all 13 atoms:
Al (0.000, 0.000, 0.000)
V (0.606, 0.606, 0.182)
V (0.606, 0.182, 0.606)
V (0.182, 0.606, 0.606)
V (0.606, 0.606, 0.606)
S (0.371, 0.371, 0.887)
S (0.371, 0.887, 0.371)
S (0.887, 0.371, 0.371)
S (0.371, 0.371, 0.371)
S (0.865, 0.865, 0.406)
S (0.865, 0.406, 0.865)
S (0.406, 0.865, 0.865)
S (0.865, 0.865, 0.865)

The calculation puts the formation energy from raw total energies at -0.9815 eV per atom. As for the space group: F-43m. The total magnetization comes out at 5.115 μB/f.u. The calculation puts the calculated total energy at -6.6151 eV/atom.

# 10
VASP calculation (PBE) on crystalline LaZnTe2I at its relaxed geometry.

Cell: 5.424 5.424 5.389 Å, 90.00 90.00 90.00°
Fractional coordinates of all 5 atoms:
I (0.000, 0.000, 0.500)
Zn (0.000, 0.000, 0.000)
Te (0.000, 0.500, 0.000)
Te (0.500, 0.000, 0.000)
La (0.500, 0.500, 0.500)

The calculation puts the formation energy from raw total energies at -0.5431 eV per atom. As for the space group: P4/mmm. The total magnetization comes out at 0.024 μB/f.u. The calculation puts the calculated total energy at -3.3501 eV/atom.

# 11
VASP calculation (PBE) on crystalline CaCe2Nd3N6 at its relaxed geometry.

Cell: 3.620 7.227 8.001 Å, 103.28 103.08 90.00°
Fractional coordinates of all 12 atoms:
Ca (0.500, 0.000, 0.000)
Ce (0.836, 0.672, 0.671)
Ce (0.164, 0.328, 0.329)
Nd (0.500, 0.500, 0.000)
Nd (0.835, 0.164, 0.670)
Nd (0.165, 0.836, 0.330)
N (0.330, 0.904, 0.660)
N (0.671, 0.576, 0.342)
N (0.670, 0.096, 0.340)
N (0.009, 0.261, 0.017)
N (0.991, 0.739, 0.983)
N (0.329, 0.424, 0.658)

The calculation puts the formation energy from raw total energies at -1.3606 eV per atom. As for the space group: C2/m. The total magnetization comes out at 0.000 μB/f.u. The calculation puts the calculated total energy at -7.8710 eV/atom.

# 12
VASP calculation (PBE) on crystalline TiSeBr3 at its relaxed geometry.

Cell: 5.409 5.409 5.409 Å, 90.00 90.00 90.00°
Fractional coordinates of all 5 atoms:
Se (0.000, 0.000, 0.000)
Br (0.000, 0.500, 0.000)
Br (0.000, 0.000, 0.500)
Br (0.500, 0.000, 0.000)
Ti (0.500, 0.500, 0.500)

The calculation puts the formation energy from raw total energies at 0.5948 eV per atom. As for the space group: Pm-3m. The total magnetization comes out at 0.143 μB/f.u. The calculation puts the calculated total energy at -2.6848 eV/atom.

> What is the calculated total energy in the seventh record?

-6.4003 eV/atom